A plane-wave DFT calculation with PBE was carried out for a geometry-optimized KSi5 structure.

Cell lengths 7.7065, 7.7065, 5.6908 Å; angles 68.76, 68.76, 28.89 degrees
With the nearest neighbours (Å) after each atom.
Fractional positions:
K  0.0009  0.0009  0.0299  10 Si 3.51-3.64, 2 K 3.85
Si  0.2947  0.2947  0.4415  3 Si 2.37-2.41
Si  0.6949  0.6949  0.6164  4 Si 2.41-2.50
Si  0.6954  0.6954  0.0455  4 Si 2.41-2.50
Si  0.8524  0.8524  0.6758  6 Si 2.50-2.66
Si  0.2952  0.2952  0.0243  3 Si 2.37-2.41

Computed properties:
Electronic total energy   -4.44 eV/atom
SG   Cm
Crystal system   monoclinic
Raw formation energy   25 kJ/mol of atoms
Offset from the most stable computed form   0 meV per atom
Magnetization   0.00 μB/cell
Density of states at the Fermi level   0.461 states/eV per atom